(1)
Below is YSc2Cu after structural relaxation, with properties calculated at the PBEsol level.

```
data_YSc2Cu
_space_group_name_H-M_alt 'P 4/m m m'
_space_group_IT_number 123
_space_group_name_Hall '-P 4 2'
_cell_length_a 3.2470
_cell_length_b 3.2470
_cell_length_c 8.2829
_cell_angle_alpha 90.00
_cell_angle_beta 90.00
_cell_angle_gamma 90.00
loop_
_atom_site_label
_atom_site_fract_x
_atom_site_fract_y
_atom_site_fract_z
Y1 0.0000 0.0000 0.0000
Sc1 0.5000 0.5000 0.3091
Cu1 0.0000 0.0000 0.5000
```

(2)
Below is YSc2Cu after structural relaxation, with properties calculated at the PBEsol level.

```
data_YSc2Cu
_space_group_name_H-M_alt 'I m m m'
_space_group_IT_number 71
_space_group_name_Hall '-I 2 2'
_cell_length_a 3.3683
_cell_length_b 4.9564
_cell_length_c 10.4857
_cell_angle_alpha 90.00
_cell_angle_beta 90.00
_cell_angle_gamma 90.00
loop_
_atom_site_label
_atom_site_fract_x
_atom_site_fract_y
_atom_site_fract_z
Y1 0.0000 0.0000 0.0000
Sc1 0.0000 0.5000 0.2085
Cu1 0.0000 0.0000 0.5000
```

Which one is the least stable? From the structures above, (1).